1.
Here is YMg3P after structural relaxation from Alexandria. Energies are from PBE.

Cell: 5.0063 5.0063 5.0063 Å, 90.00 90.00 90.00°
Closest atoms and distances in Å follow each position.
Space group Pm-3m (No. 221)
Inequivalent atoms, fractional coordinates:
Y  0.0000  0.0000  0.0000 [1 per cell]  12 Mg 3.54
Mg  0.0000  0.5000  0.5000 [3 per cell]  2 P 2.50
P  0.5000  0.5000  0.5000 [1 per cell]  6 Mg 2.50

Results
Total moment = 0.00 μB per atom
Energy above the most stable polymorph in this dataset = 0.000 eV/f.u.
Volume = 125.5 Å³/cell
DFT formation energy = 0.00 eV/atom



2.
Here is Ti3Zn2Au8 after structural relaxation from Alexandria. Energies are from PBE.

Cell: 5.3748 5.3748 29.6436 Å, 90.00 90.00 120.00°
Closest atoms and distances in Å follow each position.
Space group R-3m (No. 166, hexagonal axes)
Inequivalent atoms, fractional coordinates:
Ti  0.0000  0.0000  0.0000 [3 per cell]  6 Zn 3.24, 12 Au 3.46-3.53
Ti  0.0000  0.0000  0.1879 [6 per cell]  10 Au 2.79-2.92
Zn  0.0000  0.0000  0.3653 [6 per cell]  4 Au 2.47-2.71
Au  0.0000  0.0000  0.2819 [6 per cell]  1 Zn 2.47
Au  0.0006  0.5003  0.7735 [18 per cell]  4 Au 2.68-2.69, 1 Zn 2.71, 3 Ti 2.86-2.92

Results
Total moment = 0.32 μB per atom
Volume = 741.6 Å³/cell
DFT formation energy = 0.01 eV/atom



no.,N(E_F) (states/eV/atom)
1,0.5737
2,0.8556